## La2SmY5 (PBE)

Data for a relaxed La2SmY5 crystal.

Output
ΔH_f (0 K) (eV per atom): 0.13

Cell: 5.699 12.042 15.980 Å, 90.00 90.00 90.00°
Space group Cmcm (No. 63)
Inequivalent atoms, fractional coordinates:
La: 0.000 0.215 0.129 [8 per cell]
Sm: 0.000 0.263 0.750 [4 per cell]
Y: 0.000 0.081 0.590 [8 per cell]
Y: 0.000 0.383 0.549 [8 per cell]
Y: 0.000 0.461 0.250 [4 per cell]